An optimized crystal structure of MgZn2Pt. Source: Alexandria via LeMat-Bulk, functional PBE-GGA.

Calculated values
- ΔE_f (eV per atom) = -0.216
- total energy (eV per atom) = -2.76

Unit cell a=2.800 b=4.468 c=11.774 alpha=90.00 beta=90.00 gamma=90.00
Space group Immm (No. 71)
Unique sites:
1 Mg 0.000 0.000 0.000 [2 per cell]
2 Zn 0.000 0.000 0.284 [4 per cell]
3 Pt 0.000 0.000 0.500 [2 per cell]